Compound: ScPtPb3
Source: Alexandria
Functional: PBE
Structure: relaxed

* space-group type: Pm-3m (221)
* E_form: 793 meV/atom
* calculated total energy: -19.53 eV per formula unit
* DOS(E_F): 4.777 states/eV/f.u.
* total magnetization: 0.000 μB per cell

Geometry as POSCAR:
```
ScPtPb3
1.0
5.5013 0.0000 0.0000
0.0000 5.5013 0.0000
0.0000 0.0000 5.5013
Sc Pt Pb
1 1 3
Direct
0.0000 0.0000 0.0000
0.5000 0.5000 0.5000
0.0000 0.0000 0.5000
0.0000 0.5000 0.0000
0.5000 0.0000 0.0000
```